1.
Density functional theory data (PBE) for a relaxed BaLiMgCd2 crystal.

a b c (Å): 5.4633 5.4633 6.2905
angles (deg): 90.00 90.00 90.00
Atoms (fractional coordinates):
Ba (0.0000, 0.0000, 0.0000)
Li (0.5000, 0.5000, 0.0000)
Mg (0.0000, 0.0000, 0.5000)
Cd (0.0000, 0.5000, 0.5000)
Cd (0.5000, 0.0000, 0.5000)

Results
Crystal system: tetragonal

2.
Density functional theory data (PBE) for a relaxed CaOsPt crystal.

a b c (Å): 5.6990 5.6990 5.6990
angles (deg): 144.26 144.26 51.43
Atoms (fractional coordinates):
Ca (0.0000, 0.0000, 0.0000)
Os (0.7173, 0.7173, 0.0000)
Pt (0.2878, 0.2878, 0.0000)

Results
Crystal system: tetragonal

no.,formation energy (eV per atom),D(E_F) (states/eV/cell)
1,0.268,4.99
2,0.226,3.72